(1)
First-principles (PBE) data for a relaxed structure of HgPtCl, as listed in Alexandria.

Results
energy	-2.672	eV per atom
calculated volume	162	Å³ per cell
energy relative to the elements, uncorrected	58	meV per atom
total magnetization	0.0	μB per cell
E above lowest polymorph	0.000	eV per atom

abc: 11.3525 4.9240 4.9240
angles: 36.13 90.00 90.00
Fractional positions:
1 Hg 0.0000 0.0000 0.0000
2 Hg 0.5000 0.0154 0.0154
3 Pt 0.1125 0.2694 0.2694
4 Pt 0.8875 0.2694 0.2694
5 Cl 0.2783 0.7556 0.7556
6 Cl 0.7217 0.7556 0.7556

(2)
First-principles (PBE) data for a relaxed structure of AgS2ClF, as listed in Alexandria.

Results
energy	-2.349	eV per atom
calculated volume	121	Å³ per cell
energy relative to the elements, uncorrected	616	meV per atom
total magnetization	3.6	μB per cell
E above lowest polymorph	0.143	eV per atom

abc: 4.9784 4.9784 4.8880
angles: 90.00 90.00 90.00
Fractional positions:
1 Ag 0.0000 0.0000 0.0000
2 S 0.0000 0.5000 0.0000
3 S 0.5000 0.0000 0.0000
4 Cl 0.0000 0.0000 0.5000
5 F 0.5000 0.5000 0.5000